# 1
Entry from Alexandria: crystalline ZrTaRe at its relaxed geometry (PBE).

Results
Crystal system ... cubic
V ... 63.9 Å³ per cell
D(E_F) ... 1.4394 states/eV/atom
Energy relative to the lowest polymorph listed for this composition ... 552.4 meV per atom
Symmetry ... F-43m
Energy of formation from the pure elements ... 5.08 kcal/mol of atoms

a b c (Å): 4.4877 4.4877 4.4877
angles (deg): 60.00 60.00 60.00
Positions (direct):
Zr1 0.0000 0.0000 0.0000
Ta1 0.5000 0.5000 0.5000
Re1 0.7500 0.7500 0.7500

=====

# 2
Entry from Alexandria: crystalline ZrTa2Re at its relaxed geometry (PBE).

Results
Crystal system ... cubic
V ... 72.0 Å³ per cell
D(E_F) ... 1.1769 states/eV/atom
Symmetry ... F-43m
Energy of formation from the pure elements ... -1.77 kcal/mol of atoms

a b c (Å): 4.6694 4.6694 4.6694
angles (deg): 60.00 60.00 60.00
Positions (direct):
Zr1 0.0000 0.0000 0.0000
Ta1 0.5000 0.5000 0.5000
Ta2 0.7500 0.7500 0.7500
Re1 0.2500 0.2500 0.2500

=====

# 3
Entry from Alexandria: crystalline ZrTa4Re at its relaxed geometry (PBE).

Results
Crystal system ... cubic
V ... 113.5 Å³ per cell
D(E_F) ... 0.3525 states/eV/atom
Symmetry ... F-43m
Energy of formation from the pure elements ... 3.76 kcal/mol of atoms

a b c (Å): 5.4338 5.4338 5.4338
angles (deg): 60.00 60.00 60.00
Positions (direct):
Zr1 0.0000 0.0000 0.0000
Ta1 0.3750 0.3750 0.3750
Ta2 0.3750 0.3750 0.8751
Ta3 0.3750 0.8751 0.3750
Ta4 0.8751 0.3750 0.3750
Re1 0.7500 0.7500 0.7500